The following is a meta-GGA SCAN calculation of a crystal of Zn3CdS relaxed with PBEsol, from Alexandria.

Geometry as CIF:
```
data_Zn3CdS
_chemical_formula_sum 'Zn3 Cd1 S1'
_space_group_name_H-M_alt 'P m -3 m'
_space_group_IT_number 221
_space_group_name_Hall '-P 4 2 3'
_cell_length_a 4.878
_cell_length_b 4.878
_cell_length_c 4.878
_cell_angle_alpha 90.00
_cell_angle_beta 90.00
_cell_angle_gamma 90.00
loop_
_atom_site_label
_atom_site_type_symbol
_atom_site_fract_x
_atom_site_fract_y
_atom_site_fract_z
_atom_site_occupancy
Zn1 Zn 0.000 0.000 0.500 1
Cd1 Cd 0.000 0.000 0.000 1
S1 S 0.500 0.500 0.500 1
```

Output
For the spin magnetization, the calculation gives 0.0 μB per formula unit. The total energy comes out at -0.56814 hartree per atom.